(1)
! Mn2Be15Nb2, relaxed, DFT GGA-PBE; values from VASP
! Space group = R-3m
! ΔE_f = -211 meV/atom
&SYSTEM
  ibrav = 0, nat = 19, ntyp = 3
/
ATOMIC_SPECIES
Mn 54.94 Mn.upf
Be 9.01 Be.upf
Nb 92.91 Nb.upf
ATOMIC_POSITIONS crystal
Mn 0.098 0.098 0.098
Mn 0.902 0.902 0.902
Be 0.000 0.000 0.500
Be 0.000 0.289 0.711
Be 0.000 0.500 0.000
Be 0.000 0.711 0.289
Be 0.156 0.654 0.654
Be 0.289 0.000 0.711
Be 0.289 0.711 0.000
Be 0.346 0.346 0.844
Be 0.346 0.844 0.346
Be 0.500 0.000 0.000
Be 0.654 0.156 0.654
Be 0.654 0.654 0.156
Be 0.711 0.000 0.289
Be 0.711 0.289 0.000
Be 0.844 0.346 0.346
Nb 0.348 0.348 0.348
Nb 0.652 0.652 0.652
CELL_PARAMETERS angstrom
3.761 2.171 3.581
-3.761 2.171 3.581
0.000 -4.343 3.581

=====

(2)
! Mn2BeNb, relaxed, DFT GGA-PBE; values from VASP
! Space group = Cmmm
! ΔE_f = 423 meV/atom
&SYSTEM
  ibrav = 0, nat = 4, ntyp = 3
/
ATOMIC_SPECIES
Mn 54.94 Mn.upf
Be 9.01 Be.upf
Nb 92.91 Nb.upf
ATOMIC_POSITIONS crystal
Mn 0.202 0.798 0.000
Mn 0.798 0.202 0.000
Be 0.000 0.000 0.500
Nb 0.500 0.500 0.500
CELL_PARAMETERS angstrom
2.289 -3.632 0.000
2.289 3.632 0.000
0.000 0.000 2.982

=====

(3)
! MnBe4Nb, relaxed, DFT GGA-PBE; values from VASP
! Space group = F-43m
! ΔE_f = -273 meV/atom
&SYSTEM
  ibrav = 0, nat = 6, ntyp = 3
/
ATOMIC_SPECIES
Mn 54.94 Mn.upf
Be 9.01 Be.upf
Nb 92.91 Nb.upf
ATOMIC_POSITIONS crystal
Mn 0.000 0.000 0.000
Be 0.374 0.374 0.374
Be 0.374 0.374 0.878
Be 0.374 0.878 0.374
Be 0.878 0.374 0.374
Nb 0.750 0.750 0.750
CELL_PARAMETERS angstrom
0.000 3.100 3.100
3.100 0.000 3.100
3.100 3.100 0.000

=====

(4)
! Mn3BeNb, relaxed, DFT GGA-PBE; values from VASP
! Space group = Pm-3m
! Relative energy among the computed polymorphs = 0.0000 eV per atom
! ΔE_f = 406 meV/atom
&SYSTEM
  ibrav = 0, nat = 5, ntyp = 3
/
ATOMIC_SPECIES
Mn 54.94 Mn.upf
Be 9.01 Be.upf
Nb 92.91 Nb.upf
ATOMIC_POSITIONS crystal
Mn 0.000 0.000 0.500
Mn 0.000 0.500 0.000
Mn 0.500 0.000 0.000
Be 0.000 0.000 0.000
Nb 0.500 0.500 0.500
CELL_PARAMETERS angstrom
4.013 0.000 0.000
0.000 4.013 0.000
0.000 0.000 4.013

=====

(5)
! Mn2Be2Nb, relaxed, DFT GGA-PBE; values from VASP
! Space group = P4/mbm
! Relative energy among the computed polymorphs = 0.1805 eV per atom
! ΔE_f = 112 meV/atom
&SYSTEM
  ibrav = 0, nat = 10, ntyp = 3
/
ATOMIC_SPECIES
Mn 54.94 Mn.upf
Be 9.01 Be.upf
Nb 92.91 Nb.upf
ATOMIC_POSITIONS crystal
Mn 0.113 0.387 0.000
Mn 0.387 0.887 0.000
Mn 0.613 0.113 0.000
Mn 0.887 0.613 0.000
Be 0.178 0.678 0.500
Be 0.322 0.178 0.500
Be 0.678 0.822 0.500
Be 0.822 0.322 0.500
Nb 0.000 0.000 0.000
Nb 0.500 0.500 0.000
CELL_PARAMETERS angstrom
6.587 0.000 0.000
0.000 6.587 0.000
0.000 0.000 2.638

=====

(6)
! MnBeNb3, relaxed, DFT GGA-PBE; values from VASP
! Space group = Pm-3m
! Relative energy among the computed polymorphs = 0.0000 eV per atom
! ΔE_f = 885 meV/atom
&SYSTEM
  ibrav = 0, nat = 5, ntyp = 3
/
ATOMIC_SPECIES
Mn 54.94 Mn.upf
Be 9.01 Be.upf
Nb 92.91 Nb.upf
ATOMIC_POSITIONS crystal
Mn 0.000 0.000 0.000
Be 0.500 0.500 0.500
Nb 0.000 0.500 0.500
Nb 0.500 0.000 0.500
Nb 0.500 0.500 0.000
CELL_PARAMETERS angstrom
4.365 0.000 0.000
0.000 4.365 0.000
0.000 0.000 4.365

=====

(7)
! Mn3BeNb, relaxed, DFT GGA-PBE; values from VASP
! Space group = Pm-3m
! Relative energy among the computed polymorphs = 1.2440 eV per atom
! ΔE_f = 1650 meV/atom
&SYSTEM
  ibrav = 0, nat = 5, ntyp = 3
/
ATOMIC_SPECIES
Mn 54.94 Mn.upf
Be 9.01 Be.upf
Nb 92.91 Nb.upf
ATOMIC_POSITIONS crystal
Mn 0.000 0.000 0.500
Mn 0.000 0.500 0.000
Mn 0.500 0.000 0.000
Be 0.500 0.500 0.500
Nb 0.000 0.000 0.000
CELL_PARAMETERS angstrom
4.617 0.000 0.000
0.000 4.617 0.000
0.000 0.000 4.617

=====

(8)
! Mn2BeNb, relaxed, DFT GGA-PBE; values from VASP
! Space group = I-42d
! ΔE_f = 453 meV/atom
&SYSTEM
  ibrav = 0, nat = 8, ntyp = 3
/
ATOMIC_SPECIES
Mn 54.94 Mn.upf
Be 9.01 Be.upf
Nb 92.91 Nb.upf
ATOMIC_POSITIONS crystal
Mn 0.079 0.625 0.954
Mn 0.375 0.329 0.454
Mn 0.671 0.125 0.046
Mn 0.875 0.921 0.546
Be 0.000 0.000 0.000
Be 0.750 0.250 0.500
Nb 0.250 0.750 0.500
Nb 0.500 0.500 0.000
CELL_PARAMETERS angstrom
-3.259 3.259 2.456
3.259 -3.259 2.456
3.259 3.259 -2.456